Below is crystalline Pa2GaAs at its relaxed geometry, with properties calculated at the PBE level.

Cell lengths 4.1594, 4.1594, 7.0756 Å; angles 72.91, 72.91, 60.00 degrees
With the nearest neighbours (Å) after each atom.
Element x y z (fractional)
1 As 0.5000 0.5000 0.5000  6 Pa 2.92
2 Pa 0.2498 0.2498 0.2505  3 As 2.92, 3 Ga 2.92
3 Pa 0.7502 0.7502 0.7495  3 As 2.92, 3 Ga 2.92
4 Ga 0.0000 0.0000 0.0000  6 Pa 2.92



Below is crystalline Pa2GaAs at its relaxed geometry, with properties calculated at the PBE level.

Cell lengths 3.3940, 3.3940, 7.6075 Å; angles 90.00, 90.00, 90.00 degrees
With the nearest neighbours (Å) after each atom.
Element x y z (fractional)
1 As 0.5000 0.5000 0.0000  8 Pa 3.00
2 Pa 0.0000 0.0000 0.7631  4 As 3.00, 4 Ga 3.13
3 Pa 0.0000 0.0000 0.2369  4 As 3.00, 4 Ga 3.13
4 Ga 0.5000 0.5000 0.5000  8 Pa 3.13, 4 Ga 3.39



Below is crystalline GaAs2Pb2 at its relaxed geometry, with properties calculated at the PBE level.

Cell lengths 3.8031, 3.8031, 9.3136 Å; angles 78.22, 78.22, 90.00 degrees
With the nearest neighbours (Å) after each atom.
Element x y z (fractional)
1 Pb 0.3980 0.3980 0.2039  4 Ga 3.25, 4 As 3.25
2 Pb 0.6020 0.6020 0.7961  4 Ga 3.25, 4 As 3.25
3 As 0.7500 0.2500 0.5000  4 As 2.69
4 As 0.2500 0.7500 0.5000  4 As 2.69
5 Ga 0.0000 0.0000 0.0000  8 Pb 3.25



Below is crystalline GaAs2Pb2 at its relaxed geometry, with properties calculated at the PBE level.

Cell lengths 7.6070, 7.6070, 4.5343 Å; angles 90.00, 90.00, 90.00 degrees
With the nearest neighbours (Å) after each atom.
Element x y z (fractional)
1 Pb 0.1932 0.6932 0.5000  6 As 3.05-3.33
2 Pb 0.6932 0.8068 0.5000  6 As 3.05-3.33
3 Pb 0.8068 0.3068 0.5000  6 As 3.05-3.33
4 Pb 0.3068 0.1932 0.5000  6 As 3.05-3.33
5 As 0.3825 0.8825 0.0000  1 As 2.53
6 As 0.8825 0.6175 0.0000  1 As 2.53
7 As 0.6175 0.1175 0.0000  1 As 2.53
8 As 0.1175 0.3825 0.0000  1 As 2.53
9 Ga 0.0000 0.0000 0.0000  4 As 3.04
10 Ga 0.5000 0.5000 0.0000  4 As 3.04



Below is crystalline GaAsPb at its relaxed geometry, with properties calculated at the PBE level.

Cell lengths 5.0551, 4.5938, 8.0976 Å; angles 106.48, 108.19, 90.00 degrees
With the nearest neighbours (Å) after each atom.
Element x y z (fractional)
1 Pb 0.6287 0.1287 0.2574  4 Ga 3.21, 5 As 3.34-3.42
2 Pb 0.3713 0.8713 0.7426  4 Ga 3.21, 5 As 3.34-3.42
3 Ga 0.7384 0.5000 0.0000  2 Ga 2.41-2.65, 2 As 2.50
4 Ga 0.2616 0.5000 0.0000  2 Ga 2.41-2.65, 2 As 2.50
5 As 0.1441 0.6441 0.2882  2 Ga 2.50
6 As 0.8559 0.3559 0.7118  2 Ga 2.50



Below is crystalline GaAs2Pb2 at its relaxed geometry, with properties calculated at the PBE level.

Cell lengths 8.4621, 8.4621, 3.8261 Å; angles 90.00, 90.00, 90.00 degrees
With the nearest neighbours (Å) after each atom.
Element x y z (fractional)
1 Pb 0.3286 0.8286 0.0000  6 As 3.09-3.25, 2 Ga 3.14
2 Pb 0.8286 0.6714 0.0000  6 As 3.09-3.25, 2 Ga 3.14
3 Pb 0.6714 0.1714 0.0000  6 As 3.09-3.25, 2 Ga 3.14
4 Pb 0.1714 0.3286 0.0000  6 As 3.09-3.25, 2 Ga 3.14
5 As 0.1087 0.6087 0.5000  1 As 2.60
6 As 0.6087 0.8913 0.5000  1 As 2.60
7 As 0.8913 0.3913 0.5000  1 As 2.60
8 As 0.3913 0.1087 0.5000  1 As 2.60
9 Ga 0.0000 0.0000 0.0000  4 Pb 3.14
10 Ga 0.5000 0.5000 0.0000  4 Pb 3.14



no.,E_tot (eV/atom),size of the total moment (μB per formula unit),offset from the most stable computed form (meV/atom)
1,-7.133,0.0,18.0
2,-7.151,0.0,0.0
3,-3.801,0.0,54.0
4,-3.855,0.0,0.0
5,-3.701,0.0,142.6
6,-3.742,0.0,113.1